# NaGa2Ni PBE optimized geometry
# volume: 20.1 A^3/atom
# ΔE_f: -4.017 kcal/mol of atoms
# E_tot: -0.2545 Ry per atom
data_NaGa2Ni
_space_group_name_H-M_alt 'R 3 m'
_space_group_IT_number 160
_space_group_name_Hall 'R 3 -2"'
_cell_length_a 4.1331
_cell_length_b 4.1331
_cell_length_c 16.2848
_cell_angle_alpha 90.00
_cell_angle_beta 90.00
_cell_angle_gamma 120.00
loop_
_atom_site_label
_atom_site_type_symbol
_atom_site_fract_x
_atom_site_fract_y
_atom_site_fract_z
Na1 Na 0.0000 0.0000 0.0000
Ga1 Ga 0.0000 0.0000 0.1967
Ga2 Ga 0.0000 0.0000 0.4605
Ni1 Ni 0.0000 0.0000 0.8207